No. 1
The following is a PBE calculation of a relaxed structure of Pr2ThTe4, from the Alexandria database.

Energy relative to the lowest polymorph listed for this composition: 0 meV/atom

Cell: 7.7835 7.7835 4.4735 Å, 90.00 90.00 108.71°
With the nearest neighbours (Å) after each atom.
Atoms (fractional coordinates):
Pr (0.0000, 0.5000, 0.0000)  6 Te 3.16-3.19
Pr (0.5000, 0.0000, 0.0000)  6 Te 3.16-3.19
Th (0.0000, 0.0000, 0.5000)  6 Te 3.19-3.24
Te (0.2508, 0.2508, 0.0000)  2 Pr 3.16, 2 Th 3.19
Te (0.2558, 0.7442, 0.5000)  4 Pr 3.19, 1 Th 3.24
Te (0.7442, 0.2558, 0.5000)  4 Pr 3.19, 1 Th 3.24
Te (0.7492, 0.7492, 0.0000)  2 Pr 3.16, 2 Th 3.19

---

No. 2
The following is a PBE calculation of a relaxed structure of CaPmTeO6, from the Alexandria database.

Total energy: -6.46 eV/atom

Cell: 5.6895 5.6895 9.4993 Å, 90.00 90.00 120.00°
With the nearest neighbours (Å) after each atom.
Atoms (fractional coordinates):
Ca (0.3333, 0.6667, 0.2500)  6 O 2.36
Ca (0.6667, 0.3333, 0.7500)  6 O 2.36
Pm (0.0000, 0.0000, 0.0000)  6 O 2.38
Pm (0.0000, 0.0000, 0.5000)  6 O 2.38
Te (0.3333, 0.6667, 0.7500)  6 O 1.95
Te (0.6667, 0.3333, 0.2500)  6 O 1.95
O (0.0543, 0.3762, 0.6360)  1 Te 1.95
O (0.0543, 0.6781, 0.8640)  1 Te 1.95
O (0.3219, 0.3762, 0.8640)  1 Te 1.95
O (0.3219, 0.9457, 0.6360)  1 Te 1.95
O (0.3762, 0.0543, 0.1360)  1 Te 1.95
O (0.3762, 0.3219, 0.3640)  1 Te 1.95
O (0.6238, 0.6781, 0.6360)  1 Te 1.95
O (0.6238, 0.9457, 0.8640)  1 Te 1.95
O (0.6781, 0.0543, 0.3640)  1 Te 1.95
O (0.6781, 0.6238, 0.1360)  1 Te 1.95
O (0.9457, 0.3219, 0.1360)  1 Te 1.95
O (0.9457, 0.6238, 0.3640)  1 Te 1.95